A relaxed structure of Ba2InRu, computed with PBE.

Properties
E_tot: -3.8278 eV per atom
mass density: 4.8 g/cm3

Unit cell a=8.4612 b=8.4612 c=8.4612 alpha=95.60 beta=95.60 gamma=143.60
Element x y z (fractional)
1 Ba 0.3750 0.0448 0.1698
2 Ba 0.7948 0.6250 0.6698
3 Ba 0.8750 0.2052 0.8302
4 Ba 0.9552 0.1250 0.3302
5 In 0.2500 0.7500 0.5000
6 In 0.5000 0.5000 0.0000
7 Ru 0.0000 0.0000 0.0000
8 Ru 0.7500 0.2500 0.5000

---

A relaxed structure of Ba2InRu, computed with PBE.

Properties
E_tot: -3.9781 eV per atom
mass density: 4.9 g/cm3

Unit cell a=4.6876 b=4.6876 c=9.0967 alpha=105.05 beta=105.05 gamma=60.14
Element x y z (fractional)
1 Ba 0.0000 0.0000 0.0000
2 Ba 0.1691 0.1691 0.5024
3 In 0.7506 0.7506 0.2513
4 Ru 0.4164 0.4164 0.2501

---

A relaxed structure of Ba3InRu, computed with PBE.

Properties
E_tot: -3.4205 eV per atom
mass density: 5.2 g/cm3
energy above the lowest structure with this stoichiometry: 0.000 eV per atom

Unit cell a=5.8627 b=5.8627 c=5.8627 alpha=90.00 beta=90.00 gamma=90.00
Element x y z (fractional)
1 Ba 0.0000 0.0000 0.5000
2 Ba 0.0000 0.5000 0.0000
3 Ba 0.5000 0.0000 0.0000
4 In 0.5000 0.5000 0.5000
5 Ru 0.0000 0.0000 0.0000

---

A relaxed structure of Ba2InRu, computed with PBE.

Properties
E_tot: -3.6859 eV per atom
mass density: 6.3 g/cm3

Unit cell a=3.8347 b=3.8760 c=8.6564 alpha=90.00 beta=90.00 gamma=90.00
Element x y z (fractional)
1 Ba 0.0000 0.0000 0.2123
2 Ba 0.0000 0.0000 0.7877
3 In 0.5000 0.5000 0.5000
4 Ru 0.5000 0.5000 0.0000